1.
VASP calculation (GGA-PBE) on an optimized crystal structure of NaTiO3.

Cell lengths 2.930, 5.735, 7.098 Å; angles 85.25, 78.09, 75.22 degrees
Element x y z (fractional)
Na: 0.000 0.000 0.000
Na: 0.271 0.999 0.457
Ti: 0.129 0.506 0.237
Ti: 0.423 0.437 0.717
O: 0.028 0.226 0.717
O: 0.316 0.349 0.020
O: 0.528 0.743 0.202
O: 0.636 0.338 0.390
O: 0.753 0.689 0.807
O: 0.858 0.685 0.596

Summary:
- raw formation energy (meV/atom) = -2277
- SG = P1, No. 1

=====

2.
VASP calculation (GGA-PBE) on an optimized crystal structure of KBeCl2.

Cell lengths 5.768, 5.768, 5.768 Å; angles 146.45, 113.22, 76.84 degrees
Element x y z (fractional)
K: 0.000 0.000 0.000
Be: 0.500 0.500 0.000
Cl: 0.338 0.838 0.500
Cl: 0.662 0.162 0.500

Summary:
- raw formation energy (meV/atom) = -706
- SG = Immm, No. 71

=====

3.
VASP calculation (GGA-PBE) on an optimized crystal structure of Hf3In2Te6.

Cell lengths 6.931, 6.931, 8.733 Å; angles 97.66, 97.66, 120.03 degrees
Element x y z (fractional)
Hf: 0.000 0.000 0.000
Hf: 0.331 0.669 0.000
Hf: 0.669 0.331 0.000
In: 0.166 0.834 0.500
In: 0.834 0.166 0.500
Te: 0.073 0.404 0.211
Te: 0.265 0.265 0.791
Te: 0.404 0.073 0.211
Te: 0.596 0.927 0.789
Te: 0.735 0.735 0.209
Te: 0.927 0.596 0.789

Summary:
- raw formation energy (meV/atom) = -609
- SG = C2/m, No. 12

=====

4.
VASP calculation (GGA-PBE) on an optimized crystal structure of MgMn2V2.

Cell lengths 7.050, 7.050, 2.844 Å; angles 90.00, 90.00, 90.00 degrees
Element x y z (fractional)
Mg: 0.000 0.000 0.000
Mg: 0.500 0.500 0.000
Mn: 0.140 0.360 0.000
Mn: 0.360 0.860 0.000
Mn: 0.640 0.140 0.000
Mn: 0.860 0.640 0.000
V: 0.151 0.651 0.500
V: 0.349 0.151 0.500
V: 0.651 0.849 0.500
V: 0.849 0.349 0.500

Summary:
- DFT formation energy (eV/atom) = 0.149
- SG = P4/mbm, No. 127

=====

5.
VASP calculation (GGA-PBE) on an optimized crystal structure of SmIn2AgBr6.

Cell lengths 7.619, 8.118, 13.181 Å; angles 90.00, 123.94, 90.00 degrees
Element x y z (fractional)
Sm: 0.000 0.000 0.000
Sm: 0.000 0.500 0.500
In: 0.288 0.086 0.760
In: 0.288 0.414 0.260
In: 0.712 0.586 0.740
In: 0.712 0.914 0.240
Ag: 0.500 0.000 0.500
Ag: 0.500 0.500 0.000
Br: 0.139 0.027 0.252
Br: 0.139 0.473 0.752
Br: 0.241 0.702 0.055
Br: 0.241 0.798 0.555
Br: 0.358 0.190 0.049
Br: 0.358 0.310 0.549
Br: 0.642 0.690 0.451
Br: 0.642 0.810 0.951
Br: 0.759 0.202 0.445
Br: 0.759 0.298 0.945
Br: 0.861 0.527 0.248
Br: 0.861 0.973 0.748

Summary:
- raw formation energy (meV/atom) = -1071
- SG = P2_1/c, No. 14

=====

6.
VASP calculation (GGA-PBE) on an optimized crystal structure of Tb2Nd3Cd3.

Cell lengths 11.772, 11.772, 11.772 Å; angles 161.45, 152.90, 33.04 degrees
Element x y z (fractional)
Tb: 0.235 0.235 0.000
Tb: 0.765 0.765 0.000
Nd: 0.000 0.000 0.000
Nd: 0.376 0.876 0.500
Nd: 0.624 0.124 0.500
Cd: 0.120 0.620 0.500
Cd: 0.500 0.500 0.000
Cd: 0.880 0.380 0.500

Summary:
- DFT formation energy (eV/atom) = -0.237
- SG = Immm, No. 71

=====

7.
VASP calculation (GGA-PBE) on an optimized crystal structure of Mo2PtCl.

Cell lengths 9.730, 9.730, 9.730 Å; angles 16.99, 16.99, 16.99 degrees
Element x y z (fractional)
Mo: 0.000 0.000 0.000
Mo: 0.251 0.251 0.251
Pt: 0.742 0.742 0.742
Cl: 0.520 0.520 0.520

Summary:
- raw formation energy (meV/atom) = 49
- SG = R3m, No. 160

=====

8.
VASP calculation (GGA-PBE) on an optimized crystal structure of YBe2Se.

Cell lengths 5.781, 5.781, 5.781 Å; angles 103.25, 103.25, 122.79 degrees
Element x y z (fractional)
Y: 0.000 0.000 0.000
Y: 0.750 0.250 0.500
Be: 0.184 0.625 0.059
Be: 0.375 0.434 0.559
Be: 0.566 0.125 0.941
Be: 0.875 0.816 0.441
Se: 0.250 0.750 0.500
Se: 0.500 0.500 0.000

Summary:
- raw formation energy (meV/atom) = -60
- SG = I-42d, No. 122

=====

9.
VASP calculation (GGA-PBE) on an optimized crystal structure of Er4Tm3Rh4.

Cell lengths 9.232, 9.232, 9.232 Å; angles 157.39, 122.67, 62.43 degrees
Element x y z (fractional)
Er: 0.022 0.835 0.187
Er: 0.351 0.165 0.187
Er: 0.649 0.835 0.813
Er: 0.978 0.165 0.813
Tm: 0.000 0.500 0.500
Tm: 0.398 0.398 0.000
Tm: 0.602 0.602 0.000
Rh: 0.253 0.753 0.500
Rh: 0.287 0.000 0.287
Rh: 0.713 0.000 0.713
Rh: 0.747 0.247 0.500

Summary:
- DFT formation energy (eV/atom) = -0.686
- SG = Immm, No. 71

=====

10.
VASP calculation (GGA-PBE) on an optimized crystal structure of CsTiRhSe3.

Cell lengths 9.209, 3.800, 10.163 Å; angles 90.00, 116.28, 90.00 degrees
Element x y z (fractional)
Cs: 0.238 0.250 0.257
Cs: 0.762 0.750 0.743
Ti: 0.308 0.750 0.839
Ti: 0.692 0.250 0.161
Rh: 0.087 0.250 0.601
Rh: 0.913 0.750 0.399
Se: 0.132 0.250 0.863
Se: 0.232 0.750 0.567
Se: 0.478 0.750 0.132
Se: 0.522 0.250 0.868
Se: 0.768 0.250 0.433
Se: 0.868 0.750 0.137

Summary:
- raw formation energy (meV/atom) = -942
- SG = P2_1/m, No. 11

=====

11.
VASP calculation (GGA-PBE) on an optimized crystal structure of Te2AsW.

Cell lengths 3.252, 3.252, 8.605 Å; angles 90.00, 90.00, 90.00 degrees
Element x y z (fractional)
Te: 0.000 0.000 0.198
Te: 0.000 0.000 0.802
As: 0.500 0.500 0.500
W: 0.500 0.500 0.000

Summary:
- raw formation energy (meV/atom) = 497
- SG = P4/mmm, No. 123

=====

12.
VASP calculation (GGA-PBE) on an optimized crystal structure of CdIn2Tc.

Cell lengths 3.606, 3.606, 6.119 Å; angles 90.00, 90.00, 90.00 degrees
Element x y z (fractional)
Cd: 0.000 0.000 0.000
In: 0.500 0.500 0.269
In: 0.500 0.500 0.731
Tc: 0.000 0.000 0.500

Summary:
- DFT formation energy (eV/atom) = 0.254
- SG = P4/mmm, No. 123